HfPaFe | OQMD via LeMat-Bulk | PBE | relaxed; energy of formation = 0.160 eV/atom; final energy = -9.09 eV/atom; energy above the most stable polymorph in this dataset = 0.000 eV per atom
1.0
0.0000 3.1585 3.1585
3.1585 0.0000 3.1585
3.1585 3.1585 0.0000
Fe Hf Pa
1 1 1
direct
0.0000 0.0000 0.0000
0.7500 0.7500 0.7500
0.2500 0.2500 0.2500

---

AcHf | OQMD via LeMat-Bulk | PBE | relaxed; energy of formation = 1.772 eV/atom; final energy = -5.26 eV/atom; energy above the most stable polymorph in this dataset = 1.271 eV per atom
1.0
-5.4247 0.2921 1.7873
1.6372 -4.2243 -3.4903
1.4860 -3.6426 5.1057
Ac Hf
2 2
direct
0.3333 0.6667 0.4380
0.0000 0.0000 0.9380
0.0000 0.0000 0.4370
0.3333 0.6667 0.9370

---

LiTmPbSe3 | OQMD via LeMat-Bulk | PBE | relaxed; final energy = -4.70 eV/atom; energy above the most stable polymorph in this dataset = 0.000 eV per atom
1.0
-2.6794 -2.7141 -8.1650
1.3355 -3.3746 -8.2487
-1.0564 -7.0459 4.9294
Li Pb Se Tm
2 2 6 2
direct
0.5052 0.5052 0.1988
0.4948 0.4948 0.8012
0.8660 0.8660 0.4353
0.1340 0.1340 0.5647
0.0000 0.0000 0.0000
0.3320 0.3320 0.1418
0.6746 0.6746 0.3146
0.5000 0.5000 0.5000
0.3254 0.3254 0.6854
0.6680 0.6680 0.8582
0.1651 0.1651 0.0859
0.8349 0.8349 0.9141

---

Q: What is the formula in the first record?
A: HfPaFe